1.
VASP calculation (GGA-PBEsol) on crystalline NaFeHg3 at its relaxed geometry.

Lattice parameters (Å, degrees): 5.2260 5.2260 5.2260 90.00 90.00 90.00
Closest atoms and distances in Å follow each position.
Space group Pm-3m (No. 221)
Unique sites:
Na: 0.0000 0.0000 0.0000  6 Hg 2.61
Fe: 0.5000 0.5000 0.5000  12 Hg 3.70
Hg: 0.0000 0.0000 0.5000  2 Na 2.61

Computed properties:
Magnetic moment: 3.45 μB/cell
Energy relative to the elements: 1.044 eV/atom
Crystal system: cubic

2.
VASP calculation (GGA-PBEsol) on crystalline Na2FeHgPb at its relaxed geometry.

Lattice parameters (Å, degrees): 5.3252 5.3252 4.9585 90.00 90.00 90.00
Closest atoms and distances in Å follow each position.
Space group P4/mmm (No. 123)
Unique sites:
Na: 0.0000 0.5000 0.0000  2 Hg 2.66
Fe: 0.0000 0.0000 0.5000  2 Hg 2.48
Hg: 0.0000 0.0000 0.0000  2 Fe 2.48, 4 Na 2.66
Pb: 0.5000 0.5000 0.5000  8 Na 3.64, 4 Fe 3.77

Computed properties:
Magnetic moment: 3.00 μB/cell
Energy relative to the elements: 0.638 eV/atom
Crystal system: tetragonal

3.
VASP calculation (GGA-PBEsol) on crystalline NaFe2TcHg at its relaxed geometry.

Lattice parameters (Å, degrees): 4.3262 4.3262 4.5987 90.00 90.00 90.00
Closest atoms and distances in Å follow each position.
Space group P4/mmm (No. 123)
Unique sites:
Na: 0.0000 0.0000 0.0000  4 Fe 2.16, 2 Tc 2.30
Fe: 0.0000 0.5000 0.0000  2 Na 2.16
Tc: 0.0000 0.0000 0.5000  2 Na 2.30
Hg: 0.5000 0.5000 0.5000  4 Tc 3.06, 8 Fe 3.16

Computed properties:
Magnetic moment: 7.44 μB/cell
Energy relative to the elements: 2.099 eV/atom
Crystal system: tetragonal

4.
VASP calculation (GGA-PBEsol) on crystalline NbFeHg3 at its relaxed geometry.

Lattice parameters (Å, degrees): 4.7876 4.7876 4.7876 90.00 90.00 90.00
Closest atoms and distances in Å follow each position.
Space group Pm-3m (No. 221)
Unique sites:
Nb: 0.0000 0.0000 0.0000  12 Hg 3.39
Fe: 0.5000 0.5000 0.5000  6 Hg 2.39
Hg: 0.0000 0.5000 0.5000  2 Fe 2.39

Computed properties:
Magnetic moment: 4.04 μB/cell
Energy relative to the elements: 1.052 eV/atom
Crystal system: cubic

5.
VASP calculation (GGA-PBEsol) on crystalline Fe2NiHg at its relaxed geometry.

Lattice parameters (Å, degrees): 5.1687 7.6934 2.6811 90.00 90.00 90.00
Closest atoms and distances in Å follow each position.
Space group Cmmm (No. 65)
Unique sites:
Fe: 0.2500 0.2500 0.0000  4 Fe 2.58-2.68, 4 Hg 2.68, 4 Ni 2.68
Ni: 0.0000 0.0000 0.5000  2 Hg 2.58, 8 Fe 2.68, 2 Ni 2.68
Hg: 0.0000 0.5000 0.5000  2 Ni 2.58, 8 Fe 2.68, 2 Hg 2.68

Computed properties:
Magnetic moment: 11.85 μB/cell
Energy relative to the elements: 0.353 eV/atom
Crystal system: orthorhombic

6.
VASP calculation (GGA-PBEsol) on crystalline Fe2NiHg at its relaxed geometry.

Lattice parameters (Å, degrees): 2.9451 2.9792 5.9921 90.00 90.00 90.00
Closest atoms and distances in Å follow each position.
Space group Pmm2 (No. 25)
Unique sites:
Fe: 0.0000 0.0000 0.0000  4 Ni 2.44, 4 Fe 2.45
Fe: 0.5000 0.5000 0.2115  4 Fe 2.45, 1 Ni 2.52, 4 Hg 2.74
Ni: 0.5000 0.5000 0.7908  5 Fe 2.44-2.52, 4 Hg 2.70
Hg: 0.0000 0.0000 0.5066  4 Ni 2.70, 5 Fe 2.74-2.96, 4 Hg 2.95-2.98

Computed properties:
Magnetic moment: 5.52 μB/cell
Energy relative to the elements: 0.203 eV/atom
Crystal system: orthorhombic

7.
VASP calculation (GGA-PBEsol) on crystalline FeNiHg at its relaxed geometry.

Lattice parameters (Å, degrees): 2.9020 2.9020 9.9180 90.00 90.00 90.00
Closest atoms and distances in Å follow each position.
Space group I4mm (No. 107)
Unique sites:
Fe: 0.0000 0.0000 0.0000  4 Ni 2.40
Ni: 0.0000 0.0000 0.3747  4 Fe 2.40
Hg: 0.0000 0.0000 0.6916  4 Ni 2.74, 5 Fe 2.80-3.06, 4 Hg 2.90

Computed properties:
Magnetic moment: 6.44 μB/cell
Energy relative to the elements: 0.242 eV/atom
Crystal system: tetragonal

8.
VASP calculation (GGA-PBEsol) on crystalline Fe2NiHg at its relaxed geometry.

Lattice parameters (Å, degrees): 8.4238 2.7399 4.7285 90.00 101.99 90.00
Closest atoms and distances in Å follow each position.
Space group Cm (No. 8)
Unique sites:
Fe: 0.0000 0.0000 0.0000  5 Fe 2.46-2.74, 3 Ni 2.47-2.59, 2 Hg 2.71
Fe: 0.2368 0.5000 0.2132  5 Fe 2.46-2.74, 2 Ni 2.47, 3 Hg 2.65-2.72
Ni: 0.2604 0.0000 0.7889  5 Fe 2.47-2.59, 3 Hg 2.64-2.70, 2 Ni 2.74
Hg: 0.9997 0.5000 0.5048  3 Ni 2.64-2.70, 7 Fe 2.65-2.75, 2 Hg 2.74

Computed properties:
Magnetic moment: 11.47 μB/cell
Energy relative to the elements: 0.292 eV/atom
Crystal system: monoclinic

9.
VASP calculation (GGA-PBEsol) on crystalline FeNi2Hg at its relaxed geometry.

Lattice parameters (Å, degrees): 3.8102 3.8102 7.0981 90.00 90.00 90.00
Closest atoms and distances in Å follow each position.
Space group I4/mmm (No. 139)
Unique sites:
Fe: 0.0000 0.0000 0.0000  8 Ni 2.60, 4 Hg 2.69
Ni: 0.0000 0.5000 0.2500  4 Hg 2.60, 4 Fe 2.60, 4 Ni 2.69
Hg: 0.0000 0.0000 0.5000  8 Ni 2.60, 4 Fe 2.69

Computed properties:
Magnetic moment: 7.56 μB/cell
Energy relative to the elements: 0.171 eV/atom
Crystal system: tetragonal

10.
VASP calculation (GGA-PBEsol) on crystalline Fe2NiHg at its relaxed geometry.

Lattice parameters (Å, degrees): 2.7084 2.7084 25.6222 90.00 90.00 120.00
Closest atoms and distances in Å follow each position.
Space group R-3m (No. 166, hexagonal axes)
Unique sites:
Fe: 0.0000 0.0000 0.2410  3 Ni 2.46, 6 Fe 2.71
Ni: 0.0000 0.0000 0.5000  6 Fe 2.46, 6 Ni 2.71
Hg: 0.0000 0.0000 0.0000  6 Hg 2.71, 6 Fe 2.84

Computed properties:
Magnetic moment: 17.81 μB/cell
Energy relative to the elements: 0.419 eV/atom
Crystal system: trigonal

11.
VASP calculation (GGA-PBEsol) on crystalline Fe2NiHg at its relaxed geometry.

Lattice parameters (Å, degrees): 3.8151 3.8151 7.1530 90.00 90.00 90.00
Closest atoms and distances in Å follow each position.
Space group I-4m2 (No. 119)
Unique sites:
Fe: 0.0000 0.0000 0.0000  4 Fe 2.61, 4 Ni 2.61, 4 Hg 2.70
Fe: 0.0000 0.5000 0.2500  4 Hg 2.61, 4 Fe 2.61, 4 Ni 2.70
Ni: 0.0000 0.5000 0.7500  4 Hg 2.61, 8 Fe 2.61-2.70
Hg: 0.0000 0.0000 0.5000  8 Fe 2.61-2.70, 4 Ni 2.61

Computed properties:
Magnetic moment: 10.79 μB/cell
Energy relative to the elements: 0.285 eV/atom
Crystal system: tetragonal

12.
VASP calculation (GGA-PBEsol) on crystalline Fe2HgO4 at its relaxed geometry.

Lattice parameters (Å, degrees): 8.4368 8.4368 8.4368 90.00 90.00 90.00
Closest atoms and distances in Å follow each position.
Space group Fd-3m (No. 227, origin choice 2)
Unique sites:
Fe: 0.0000 0.0000 0.0000  6 O 1.93
Hg: 0.1250 0.1250 0.6250  4 O 2.18
O: 0.0240 0.0240 0.2260  3 Fe 1.93

Computed properties:
Magnetic moment: 16.03 μB/cell
Energy relative to the elements, uncorrected: -0.879 eV/atom
Crystal system: cubic

Q: Which E_tot values were calculated for the entries above? A: -1.37; -2.63; -4.13; -3.25; -5.81; -5.96; -4.99; -5.87; -5.29; -5.74; -5.88; -6.52, in eV per atom.